# 1
BeCd2Br: optimized geometry, GGA-PBE.

a b c (Å): 3.177 6.114 10.157
angles (deg): 90.00 90.00 90.00
Space group Cmm2 (No. 35)
Symmetry-distinct sites (fractional):
Be  0.000  0.000  0.000 [2 per cell]
Cd  0.000  0.000  0.535 [2 per cell]
Cd  0.000  0.500  0.796 [2 per cell]
Br  0.000  0.500  0.147 [2 per cell]

Properties
Energy: -6.83 eV per formula unit
M_tot: 0.00 μB/f.u.
Energy relative to the elements, uncorrected: 0.099 eV/atom
Distance to the lowest polymorph of the same formula: 26 meV/atom


# 2
Tl2CrAs: optimized geometry, GGA-PBE.

a b c (Å): 3.9016 3.9016 23.6912
angles (deg): 90.00 90.00 120.00
Space group R3m (No. 160, hexagonal axes)
Symmetry-distinct sites (fractional):
Tl  0.0000  0.0000  0.0000 [3 per cell]
Tl  0.0000  0.0000  0.2198 [3 per cell]
Cr  0.0000  0.0000  0.7530 [3 per cell]
As  0.0000  0.0000  0.4608 [3 per cell]

Properties
Energy: -18.32 eV per formula unit
M_tot: 3.57 μB/f.u.
Distance to the lowest polymorph of the same formula: 53 meV/atom


# 3
ZnSbF3: optimized geometry, GGA-PBE.

a b c (Å): 4.509 4.509 4.509
angles (deg): 90.00 90.00 90.00
Space group Pm-3m (No. 221)
Symmetry-distinct sites (fractional):
Zn  0.000  0.000  0.000 [1 per cell]
Sb  0.500  0.500  0.500 [1 per cell]
F  0.000  0.500  0.500 [3 per cell]

Properties
Energy: -18.70 eV per formula unit
M_tot: 0.00 μB/f.u.
Energy relative to the elements, uncorrected: -1.539 eV/atom
Distance to the lowest polymorph of the same formula: 0 meV/atom


# 4
K3C: optimized geometry, GGA-PBE.

a b c (Å): 10.6619 10.6619 4.1413
angles (deg): 90.00 90.00 120.00
Space group P6_3/mmc (No. 194)
Symmetry-distinct sites (fractional):
K  0.2186  0.4373  0.2500 [6 per cell]
C  0.3333  0.6667  0.7500 [2 per cell]

Properties
Energy: -8.12 eV per formula unit
M_tot: 1.77 μB/f.u.
Distance to the lowest polymorph of the same formula: 52 meV/atom


# 5
Sc2BeAu: optimized geometry, GGA-PBE.

a b c (Å): 10.569 3.241 4.634
angles (deg): 90.00 113.90 90.00
Space group Cm (No. 8)
Symmetry-distinct sites (fractional):
Sc  0.000  0.000  0.000 [2 per cell]
Sc  0.211  0.000  0.699 [2 per cell]
Be  0.258  0.500  0.233 [2 per cell]
Au  0.439  0.000  0.442 [2 per cell]

Properties
Energy: -20.85 eV per formula unit
M_tot: 0.00 μB/f.u.


# 6
SmHoHg: optimized geometry, GGA-PBE.

a b c (Å): 5.2035 5.2035 22.5981
angles (deg): 90.00 90.00 120.00
Space group R3m (No. 160, hexagonal axes)
Symmetry-distinct sites (fractional):
Sm  0.0000  0.0000  0.0000 [3 per cell]
Sm  0.0000  0.0000  0.1650 [3 per cell]
Ho  0.0000  0.0000  0.5801 [3 per cell]
Ho  0.0000  0.0000  0.7439 [3 per cell]
Hg  0.0000  0.0000  0.3032 [3 per cell]
Hg  0.0000  0.0000  0.4400 [3 per cell]

Properties
Energy: -10.18 eV per formula unit
M_tot: 0.00 μB/f.u.
Distance to the lowest polymorph of the same formula: 107 meV/atom


# 7
Na2NdSn9: optimized geometry, GGA-PBE.

a b c (Å): 4.696 4.696 14.571
angles (deg): 90.00 90.00 90.00
Space group P4/mmm (No. 123)
Symmetry-distinct sites (fractional):
Na  0.000  0.000  0.167 [2 per cell]
Nd  0.000  0.000  0.500 [1 per cell]
Sn  0.000  0.500  0.000 [2 per cell]
Sn  0.000  0.500  0.329 [4 per cell]
Sn  0.500  0.500  0.164 [2 per cell]
Sn  0.500  0.500  0.500 [1 per cell]

Properties
Energy: -46.29 eV per formula unit
M_tot: 0.00 μB/f.u.


# 8
HoSnPd5: optimized geometry, GGA-PBE.

a b c (Å): 6.558 7.687 10.298
angles (deg): 90.00 106.11 90.00
Space group C2/c (No. 15)
Symmetry-distinct sites (fractional):
Ho  0.000  0.186  0.250 [4 per cell]
Sn  0.250  0.250  0.000 [4 per cell]
Pd  0.000  0.183  0.750 [4 per cell]
Pd  0.104  0.492  0.642 [8 per cell]
Pd  0.180  0.101  0.550 [8 per cell]

Properties
Energy: -38.97 eV per formula unit
M_tot: 0.00 μB/f.u.
Distance to the lowest polymorph of the same formula: 84 meV/atom